1.
Entry from Alexandria: a geometry-optimized SrTc2Pb structure (PBE).

Values from the calculation:
- DFT formation energy: 1.24 eV/atom
- Calculated density: 8.3 Mg/m³
- SG: I-42d, No. 122

Cell and atoms, written as POSCAR:
```
SrTc2Pb
1.0
-0.1807 -6.3363 4.9658
2.6749 -4.7321 -5.9408
4.1034 -4.9638 0.3442
Pb Sr Tc
2 2 4
direct
0.0000 0.0000 0.0000
0.7500 0.2500 0.5000
0.5000 0.5000 0.0000
0.2500 0.7500 0.5000
0.6671 0.1250 0.2500
0.0829 0.6250 0.2500
0.3750 0.3329 0.7500
0.8750 0.9171 0.7500
```


2.
Entry from Alexandria: a geometry-optimized Pm2Er3In4 structure (PBE).

Values from the calculation:
- DFT formation energy: -0.40 eV/atom
- Calculated density: 8.3 Mg/m³
- SG: P-3m1, No. 164
- E above lowest polymorph: 0.0 kJ/mol of atoms

Cell and atoms, written as POSCAR:
```
Pm2Er3In4
1.0
-1.0197 4.7889 1.9944
-0.1625 0.7022 5.2384
10.1676 2.1531 0.0283
Pm Er In
2 3 4
direct
0.3331 0.3337 0.7781
0.6669 0.6663 0.2219
0.3335 0.3331 0.4267
0.0000 0.0000 0.0000
0.6665 0.6669 0.5733
0.6665 0.6670 0.8987
0.0002 0.9996 0.3490
0.9998 0.0004 0.6510
0.3335 0.3330 0.1013
```


3.
Entry from Alexandria: a geometry-optimized Tb2ZnAg2 structure (PBE).

Values from the calculation:
- DFT formation energy: -0.28 eV/atom
- Calculated density: 8.7 Mg/m³
- SG: C2/m, No. 12
- E above lowest polymorph: 0.0 kJ/mol of atoms

Cell and atoms, written as POSCAR:
```
Tb2ZnAg2
1.0
3.9592 0.0000 0.0000
1.9796 5.3115 -0.5212
1.9796 0.0069 10.9101
Tb Zn Ag
4 2 4
direct
0.6597 0.3482 0.3324
0.9216 0.2653 0.8915
0.3403 0.6518 0.6676
0.0784 0.7347 0.1085
0.6136 0.0892 0.6836
0.3864 0.9108 0.3164
0.1135 0.2301 0.5430
0.6424 0.8261 0.8892
0.8865 0.7699 0.4570
0.3576 0.1739 0.1108
```


4.
Entry from Alexandria: a geometry-optimized KBa2Au4 structure (PBE).

Values from the calculation:
- DFT formation energy: -0.49 eV/atom
- Calculated density: 7.6 Mg/m³
- SG: R-3m, No. 166

Cell and atoms, written as POSCAR:
```
KBa2Au4
1.0
5.2788 0.0000 1.6492
2.3818 4.7109 1.6492
-0.1291 -0.0794 9.6861
K Au Ba
1 4 2
direct
0.0000 0.0000 0.0000
0.8783 0.8783 0.3651
0.1217 0.1217 0.6349
0.6283 0.6283 0.1150
0.3717 0.3717 0.8850
0.7579 0.7579 0.7264
0.2421 0.2421 0.2736
```


5.
Entry from Alexandria: a geometry-optimized TaTiO4 structure (PBE).

Values from the calculation:
- Calculated density: 7.0 Mg/m³
- SG: I4_1md, No. 109
- Energy: -9.4490 eV/atom

Cell and atoms, written as POSCAR:
```
TaTiO4
1.0
-0.8676 2.4516 -5.0232
-4.6626 -1.8929 2.5833
2.2420 3.9482 3.3736
Ta Ti O
2 2 8
direct
0.7568 0.2568 0.5000
0.5068 0.5068 0.0000
0.2470 0.7470 0.5000
0.9970 0.9970 0.0000
0.9447 0.7449 0.1998
0.4523 0.2532 0.1991
0.9949 0.2950 0.3002
0.5032 0.8041 0.3009
0.5032 0.2023 0.6991
0.9949 0.6947 0.6998
0.0541 0.2532 0.8009
0.5450 0.7449 0.8002
```


6.
Entry from Alexandria: a geometry-optimized ScTl2Te2 structure (PBE).

Values from the calculation:
- Calculated density: 7.3 Mg/m³
- SG: I4/mmm, No. 139
- E above lowest polymorph: 85.0 kJ/mol of atoms

Cell and atoms, written as POSCAR:
```
ScTl2Te2
1.0
-1.4827 -1.2693 3.8593
-2.0882 -3.2859 -1.8830
5.1446 -7.2671 2.0095
Sc Tl Te
1 2 2
direct
0.0000 0.0000 0.0000
0.4116 0.4116 0.1767
0.5884 0.5884 0.8233
0.7500 0.2500 0.5000
0.2500 0.7500 0.5000
```


| no. | M_tot (μB per atom) | V (Å³ per cell) |
| --- | --- | --- |
| 1 | 0.79 | 196.4 |
| 2 | 0.00 | 251.6 |
| 3 | 0.00 | 229.4 |
| 4 | 0.00 | 242.3 |
| 5 | 0.16 | 138.3 |
| 6 | 0.16 | 160.9 |